(1)
Entry from Alexandria via LeMat-Bulk: an optimized crystal structure of Fe2SiSb (PBE).

Calculated values
- Mass density: 7.1 g/cm³
- Crystal system: monoclinic
- Size of the total moment: 3.94 μB per formula unit
- DFT total energy: -6.478 eV per atom
- Energy relative to the elements, uncorrected: 0.14 eV per atom

CIF file:
```
data_Fe2SiSb
_chemical_formula_sum 'Fe4 Si2 Sb2'
_space_group_name_H-M_alt 'C 1 2/m 1'
_space_group_IT_number 12
_cell_length_a 7.667
_cell_length_b 3.028
_cell_length_c 5.431
_cell_angle_alpha 90.00
_cell_angle_beta 102.82
_cell_angle_gamma 90.00
loop_
_space_group_symop_operation_xyz
'x,y,z'
'-x,-y,-z'
'-x,y,-z'
'x,-y,z'
'x+1/2,y+1/2,z'
'-x+1/2,-y+1/2,-z'
'-x+1/2,y+1/2,-z'
'x+1/2,-y+1/2,z'
loop_
_atom_site_label
_atom_site_type_symbol
_atom_site_fract_x
_atom_site_fract_y
_atom_site_fract_z
Fe1 Fe 0.242 0.000 0.178
Si1 Si 0.000 0.500 0.000
Sb1 Sb 0.000 0.000 0.500
```


(2)
Entry from Alexandria via LeMat-Bulk: an optimized crystal structure of Ti3BiI (PBE).

Calculated values
- Mass density: 6.2 g/cm³
- Crystal system: cubic
- Size of the total moment: 3.70 μB per formula unit
- Polymorph energy (0 for the lowest one): 0 meV/atom
- DFT total energy: -4.996 eV per atom
- Energy relative to the elements, uncorrected: 0.83 eV per atom

CIF file:
```
data_Ti3BiI
_chemical_formula_sum 'Ti3 Bi1 I1'
_space_group_name_H-M_alt 'P m -3 m'
_space_group_IT_number 221
_space_group_name_Hall '-P 4 2 3'
_cell_length_a 5.043
_cell_length_b 5.043
_cell_length_c 5.043
_cell_angle_alpha 90.00
_cell_angle_beta 90.00
_cell_angle_gamma 90.00
loop_
_atom_site_label
_atom_site_type_symbol
_atom_site_fract_x
_atom_site_fract_y
_atom_site_fract_z
Ti1 Ti 0.000 0.000 0.500
Bi1 Bi 0.500 0.500 0.500
I1 I 0.000 0.000 0.000
```